(1)
An optimized crystal structure of Al4ZnBr, computed with PBE.

## Properties
* space-group type: No. 216
* DOS at the Fermi energy: 4.2 states/eV/f.u.
* uncorrected formation energy: 0.2715 eV per atom
* total energy: -16.29 eV for the cell shown

Lattice parameters (Å, degrees): 5.565 5.565 5.565 60.00 60.00 60.00
Sites, in units of the cell vectors:
1 Al 0.374 0.374 0.374
2 Br 0.750 0.750 0.750
3 Zn 0.000 0.000 0.000
4 Al 0.878 0.374 0.374
5 Al 0.374 0.374 0.878
6 Al 0.374 0.878 0.374



(2)
An optimized crystal structure of CsHfTlBi2, computed with PBE.

## Properties
* energy of formation: -86 meV per atom
* space-group type: No. 123
* DOS at the Fermi energy: 4.2 states/eV/f.u.
* total energy: -21.37 eV for the cell shown

Lattice parameters (Å, degrees): 5.750 5.750 5.853 90.00 90.00 90.00
Sites, in units of the cell vectors:
1 Hf 0.000 0.000 0.000
2 Tl 0.000 0.000 0.500
3 Bi 0.000 0.500 0.000
4 Cs 0.500 0.500 0.500
5 Bi 0.500 0.000 0.000



(3)
An optimized crystal structure of POs2Cl, computed with PBE.

## Properties
* space-group type: No. 225
* E above lowest polymorph: 701 meV per atom
* DOS at the Fermi energy: 1.3 states/eV/f.u.
* uncorrected formation energy: 0.9237 eV per atom
* total energy: -26.02 eV for the cell shown

Lattice parameters (Å, degrees): 4.267 4.267 4.267 60.00 60.00 60.00
Sites, in units of the cell vectors:
1 Os 0.250 0.250 0.250
2 Cl 0.500 0.500 0.500
3 Os 0.750 0.750 0.750
4 P 0.000 0.000 0.000



(4)
An optimized crystal structure of La3In2Ir, computed with PBE.

## Properties
* energy of formation: -537 meV per atom
* space-group type: No. 63
* E above lowest polymorph: 0 meV per atom
* DOS at the Fermi energy: 6.0 states/eV/f.u.
* total energy: -64.68 eV for the cell shown

Lattice parameters (Å, degrees): 5.461 7.853 9.044 90.00 72.43 90.00
Sites, in units of the cell vectors:
1 Ir 0.001 0.750 0.000
2 In 0.302 0.750 0.396
3 La 0.130 0.500 0.741
4 La 0.870 0.500 0.259
5 In 0.698 0.250 0.604
6 La 0.130 0.000 0.741
7 La 0.499 0.250 0.000
8 La 0.501 0.750 0.000
9 Ir 0.999 0.250 0.000
10 In 0.698 0.750 0.604
11 La 0.870 0.000 0.259
12 In 0.302 0.250 0.396



(5)
An optimized crystal structure of Cr3CoH3, computed with PBE.

## Properties
* space-group type: No. 221
* DOS at the Fermi energy: 3.7 states/eV/f.u.
* total energy: -45.93 eV for the cell shown

Lattice parameters (Å, degrees): 3.702 3.702 3.702 90.00 90.00 90.00
Sites, in units of the cell vectors:
1 Cr 0.000 0.000 0.500
2 Cr 0.000 0.500 0.000
3 Co 0.500 0.500 0.500
4 H 0.500 0.000 0.500
5 Cr 0.500 0.000 0.000
6 H 0.500 0.500 0.000
7 H 0.000 0.500 0.500



(6)
An optimized crystal structure of ScBNO2, computed with PBE.

## Properties
* space-group type: No. 123
* DOS at the Fermi energy: 1.5 states/eV/f.u.
* uncorrected formation energy: -1.2109 eV per atom
* total energy: -37.31 eV for the cell shown

Lattice parameters (Å, degrees): 3.526 3.526 3.197 90.00 90.00 90.00
Sites, in units of the cell vectors:
1 Sc 0.500 0.500 0.500
2 N 0.000 0.000 0.500
3 B 0.000 0.000 0.000
4 O 0.500 0.000 0.000
5 O 0.000 0.500 0.000



(7)
An optimized crystal structure of LiCaSi, computed with PBE.

## Properties
* space-group type: No. 12
* DOS at the Fermi energy: 1.1 states/eV/f.u.
* uncorrected formation energy: -0.3221 eV per atom
* total energy: -41.22 eV for the cell shown

Lattice parameters (Å, degrees): 7.246 4.650 10.077 90.00 131.92 90.00
Sites, in units of the cell vectors:
1 Ca 0.212 0.500 0.263
2 Si 0.359 0.500 0.026
3 Si 0.359 0.000 0.526
4 Ca 0.788 0.000 0.237
5 Si 0.641 0.000 0.474
6 Li 0.715 0.000 0.890
7 Li 0.285 0.000 0.110
8 Li 0.285 0.500 0.610
9 Li 0.715 0.500 0.390
10 Ca 0.212 0.000 0.763
11 Si 0.641 0.500 0.974
12 Ca 0.788 0.500 0.737



(8)
An optimized crystal structure of RbNa2Si2Au2, computed with PBE.

## Properties
* space-group type: No. 12
* DOS at the Fermi energy: 0.6 states/eV/f.u.
* uncorrected formation energy: -0.0733 eV per atom
* total energy: -21.52 eV for the cell shown

Lattice parameters (Å, degrees): 4.910 4.777 9.085 104.19 90.00 120.92
Sites, in units of the cell vectors:
1 Rb 0.000 0.000 0.000
2 Na 0.127 0.255 0.397
3 Si 0.546 0.091 0.643
4 Si 0.454 0.909 0.357
5 Au 0.253 0.506 0.715
6 Au 0.747 0.494 0.285
7 Na 0.873 0.745 0.603



(9)
An optimized crystal structure of Y2InAg, computed with PBE.

## Properties
* energy of formation: -197 meV per atom
* space-group type: No. 12
* DOS at the Fermi energy: 4.1 states/eV/f.u.
* total energy: -19.31 eV for the cell shown

Lattice parameters (Å, degrees): 5.154 5.154 6.376 76.63 76.63 42.60
Sites, in units of the cell vectors:
1 In 0.250 0.250 0.250
2 Y 0.007 0.007 0.992
3 Y 0.493 0.493 0.508
4 Ag 0.750 0.750 0.750



(10)
An optimized crystal structure of AcPrDy6, computed with PBE.

## Properties
* energy of formation: 397 meV per atom
* space-group type: No. 12
* E above lowest polymorph: 357 meV per atom
* DOS at the Fermi energy: 16.2 states/eV/f.u.
* total energy: -33.32 eV for the cell shown

Lattice parameters (Å, degrees): 6.014 6.014 8.926 79.66 79.66 70.98
Sites, in units of the cell vectors:
1 Ac 0.000 0.000 0.000
2 Dy 0.623 0.623 0.080
3 Dy 0.377 0.377 0.920
4 Dy 0.478 0.956 0.702
5 Dy 0.522 0.044 0.298
6 Dy 0.044 0.522 0.298
7 Dy 0.956 0.478 0.702
8 Pr 0.500 0.500 0.500